[1]
A relaxed structure of Ac4TlBiN. Source: Alexandria via LeMat-Bulk, functional PBE-GGA.

Calculated values
formation energy from raw total energies = -0.700 eV/atom
total magnetic moment = 0.00 μB per cell

Cell lengths 7.2961, 7.2501, 9.9068 Å; angles 90.00, 111.61, 90.00 degrees
Element x y z (fractional)
Bi 0.6103 0.7500 0.2206
Bi 0.3897 0.2500 0.7794
Ac 0.4145 0.7500 0.8290
Ac 0.0000 0.5000 0.5000
Ac 0.5855 0.2500 0.1710
Ac 0.0000 0.0000 0.5000
Ac 0.5000 0.0000 0.5000
Ac 0.5000 0.5000 0.5000
Ac 0.9333 0.2500 0.8667
Ac 0.0667 0.7500 0.1333
Tl 0.8856 0.7500 0.7713
Tl 0.1144 0.2500 0.2287
N 0.7190 0.2500 0.4380
N 0.2810 0.7500 0.5620

[2]
A relaxed structure of Ce3SN3. Source: Alexandria via LeMat-Bulk, functional PBE-GGA.

Calculated values
formation energy from raw total energies = -1.620 eV/atom
total magnetic moment = 2.44 μB per cell

Cell lengths 6.8086, 6.8086, 7.8420 Å; angles 64.27, 64.27, 60.00 degrees
Each line ends with the local moment (μB).
Element x y z (fractional)
N 0.4402 0.7984 0.6328  -0.03
N 0.7984 0.1286 0.6328  -0.03
N 0.1286 0.4402 0.6328  -0.03
N 0.5598 0.2016 0.3672  -0.03
N 0.2016 0.8714 0.3672  -0.03
N 0.8714 0.5598 0.3672  -0.03
S 0.6668 0.6668 0.9997  -0.02
S 0.3332 0.3332 0.0003  -0.02
Ce 0.7527 0.4456 0.7067  0.35
Ce 0.9049 0.2473 0.2933  0.35
Ce 0.0951 0.7527 0.7067  0.35
Ce 0.4456 0.0951 0.7067  0.35
Ce 0.2473 0.5544 0.2933  0.35
Ce 0.5544 0.9049 0.2933  0.35

[3]
A relaxed structure of K2LaPb. Source: Alexandria via LeMat-Bulk, functional PBE-GGA.

Calculated values
total magnetic moment = 0.31 μB per cell
formation energy from the elements = 52 meV/atom

Cell lengths 5.9795, 5.9795, 5.9795 Å; angles 120.16, 120.16, 89.72 degrees
Each line ends with the local moment (μB).
Element x y z (fractional)
K 0.0000 0.0000 0.0000  0.00
K 0.2500 0.7500 0.5000  0.01
La 0.5000 0.5000 0.0000  0.20
Pb 0.7500 0.2500 0.5000  -0.01